# Sc2CuAg

A relaxed Sc2CuAg crystal (PBE, the Alexandria database).

Values from the calculation:
Spin magnetization = 0.2650 μB/atom
Crystal system = tetragonal
Raw total energy = -5.060 eV per atom
Density of states at the Fermi level = 2.57 states/eV per cell
Formation enthalpy at 0 K = -0.1576 eV per atom
SG = No. 99

abc: 3.4495 3.4495 6.4592
angles: 90.00 90.00 90.00
Positions (direct):
Sc1 0.0000 0.0000 0.0000
Sc2 0.5000 0.5000 0.3224
Cu1 0.5000 0.5000 0.7889
Ag1 0.0000 0.0000 0.5618